# Pr9Dy2Tm

Pr9Dy2Tm after structural relaxation (PBE, Alexandria).

Summary:
Its density of states at the Fermi level is 19.67 states/eV per cell. For the formation energy from the elements, the calculation gives 14 meV/atom. Its symmetry is No. 123.

Cell and atoms, written as POSCAR:
```
Pr9Dy2Tm
1.0
5.182 0.000 0.000
0.000 5.182 0.000
0.000 0.000 15.551
Pr Dy Tm
9 2 1
Cartesian
2.591 2.591 0.000
2.591 2.591 5.177
2.591 2.591 10.374
2.591 0.000 2.580
2.591 0.000 7.775
2.591 0.000 12.971
0.000 2.591 2.580
0.000 2.591 7.775
0.000 2.591 12.971
0.000 0.000 5.176
0.000 0.000 10.375
0.000 0.000 0.000
```

---

# CdPPb

CdPPb after structural relaxation (PBE, Alexandria).

Summary:
Its density of states at the Fermi level is 1.62 states/eV per cell. For the formation energy from the elements, the calculation gives 194 meV/atom. Its symmetry is No. 216.

Cell and atoms, written as POSCAR:
```
CdPPb
1.0
-4.120 -2.444 -0.765
-0.986 -3.968 2.609
-3.531 0.099 3.324
Cd P Pb
1 1 1
Cartesian
-4.318 -3.157 2.585
-6.477 -4.735 3.877
0.000 0.000 0.000
```

---

# CePmIn2Se4

CePmIn2Se4 after structural relaxation (PBE, Alexandria).

Summary:
Its density of states at the Fermi level is 6.75 states/eV per cell. Its symmetry is No. 10. The uncorrected formation energy is -1.26 eV per atom.

Cell and atoms, written as POSCAR:
```
CePmIn2Se4
1.0
-1.479 -1.316 3.804
4.338 -6.808 -0.668
6.662 1.255 3.023
Ce Pm In Se
1 1 2 4
Cartesian
5.500 -2.777 1.177
1.430 -4.062 1.568
6.662 1.255 3.023
2.592 -0.030 3.414
8.182 -3.899 1.832
1.339 -2.970 4.327
4.094 -5.189 2.214
5.427 -1.680 3.946
```

---

# SmY12Ho6

SmY12Ho6 after structural relaxation (PBE, Alexandria).

Summary:
Its density of states at the Fermi level is 28.22 states/eV per cell. For the formation energy from the elements, the calculation gives 24 meV/atom. Its symmetry is No. 148.

Cell and atoms, written as POSCAR:
```
SmY12Ho6
1.0
-1.214 8.550 -1.239
-1.900 -1.930 9.016
5.858 4.630 5.733
Sm Y Ho
1 12 6
Cartesian
0.000 0.000 0.000
-0.689 4.089 8.457
2.407 8.015 12.037
3.773 10.377 6.527
3.433 7.161 5.052
0.337 3.235 1.472
-1.029 0.873 6.982
2.573 4.354 7.096
-0.521 0.441 3.501
3.090 3.934 3.592
0.171 6.896 6.413
3.265 10.809 10.008
-0.346 7.316 9.917
-0.177 3.664 4.949
1.726 1.563 9.119
2.057 4.789 10.580
2.921 7.586 8.560
1.018 9.687 4.390
0.687 6.461 2.929
```